An optimized crystal structure of SrGd2Os, computed with PBE.

Computed properties:
energy: -10.324 eV/atom
E_form: -0.0556 eV/atom
spin magnetization: 14.077 μB per formula unit

Cell lengths 3.492, 3.492, 10.098 Å; angles 90.00, 90.00, 90.00 degrees
Positions (direct):
Os 0.500 0.500 0.000
Gd 0.000 0.000 0.837
Gd 0.000 0.000 0.163
Sr 0.500 0.500 0.500

---

An optimized crystal structure of GdTaOs2, computed with PBE.

Computed properties:
energy above the most stable polymorph in this dataset: 0 meV per atom
energy: -12.340 eV/atom
E_form: -0.2422 eV/atom
spin magnetization: 6.904 μB per formula unit

Cell lengths 3.205, 3.205, 7.098 Å; angles 90.00, 90.00, 90.00 degrees
Positions (direct):
Os 0.000 0.000 0.786
Os 0.000 0.000 0.214
Ta 0.500 0.500 0.000
Gd 0.500 0.500 0.500

---

An optimized crystal structure of GdTaOs2, computed with PBE.

Computed properties:
energy above the most stable polymorph in this dataset: 136 meV per atom
energy: -12.204 eV/atom
E_form: -0.1057 eV/atom
spin magnetization: 6.992 μB per formula unit

Cell lengths 4.659, 4.659, 4.659 Å; angles 60.00, 60.00, 60.00 degrees
Positions (direct):
Os 0.750 0.750 0.750
Os 0.250 0.250 0.250
Gd 0.500 0.500 0.500
Ta 0.000 0.000 0.000